VASP calculation (GGA-PBE) on a relaxed structure of TaHg2Pt.

Properties
**Offset from the most stable computed form**: 593 meV per atom
**VASP energy**: -4.065 eV/atom
**Formation energy from the elements**: 559 meV per atom
**Total magnetic moment**: 0.0 μB/f.u.

a = 6.118 Å, b = 6.118 Å, c = 6.118 Å
α = 101.94°, β = 101.94°, γ = 125.89°
Atoms (fractional coordinates):
1 Ta 0.000 0.000 0.000
2 Ta 0.750 0.250 0.500
3 Hg 0.131 0.625 0.006
4 Hg 0.375 0.381 0.506
5 Hg 0.619 0.125 0.994
6 Hg 0.875 0.869 0.494
7 Pt 0.250 0.750 0.500
8 Pt 0.500 0.500 0.000

---

VASP calculation (GGA-PBE) on a relaxed structure of TcOsPb2.

Properties
**Offset from the most stable computed form**: 541 meV per atom
**VASP energy**: -6.348 eV/atom
**Formation energy from the elements**: 905 meV per atom
**Total magnetic moment**: 0.0 μB/f.u.

a = 4.740 Å, b = 4.740 Å, c = 3.357 Å
α = 90.00°, β = 90.00°, γ = 90.00°
Atoms (fractional coordinates):
1 Tc 0.000 0.000 0.000
2 Os 0.500 0.500 0.000
3 Pb 0.000 0.500 0.500
4 Pb 0.500 0.000 0.500

---

VASP calculation (GGA-PBE) on a relaxed structure of LuPaAgPd.

Properties
**VASP energy**: -5.741 eV/atom
**Formation energy from the elements**: -225 meV per atom
**Total magnetic moment**: 0.8 μB/f.u.

a = 5.017 Å, b = 5.017 Å, c = 5.017 Å
α = 60.00°, β = 60.00°, γ = 60.00°
Atoms (fractional coordinates):
1 Lu 0.000 0.000 0.000
2 Pa 0.500 0.500 0.500
3 Ag 0.250 0.250 0.250
4 Pd 0.750 0.750 0.750

---

VASP calculation (GGA-PBE) on a relaxed structure of ZrAl2Pt.

Properties
**VASP energy**: -6.123 eV/atom
**Formation energy from the elements**: -604 meV per atom
**Total magnetic moment**: 0.0 μB/f.u.

a = 4.736 Å, b = 4.736 Å, c = 5.036 Å
α = 102.46°, β = 102.46°, γ = 40.01°
Atoms (fractional coordinates):
1 Zr 0.000 0.000 0.000
2 Al 0.237 0.237 0.701
3 Al 0.492 0.492 0.503
4 Pt 0.757 0.757 0.311

---

VASP calculation (GGA-PBE) on a relaxed structure of Be2CuTc.

Properties
**Offset from the most stable computed form**: 70 meV per atom
**VASP energy**: -5.556 eV/atom
**Formation energy from the elements**: -78 meV per atom
**Total magnetic moment**: 0.0 μB/f.u.

a = 2.545 Å, b = 2.998 Å, c = 5.544 Å
α = 90.00°, β = 90.00°, γ = 90.00°
Atoms (fractional coordinates):
1 Be 0.000 0.000 0.231
2 Be 0.000 0.000 0.769
3 Cu 0.500 0.500 0.000
4 Tc 0.500 0.500 0.500

---

VASP calculation (GGA-PBE) on a relaxed structure of LaCePrHg.

Properties
**VASP energy**: -4.018 eV/atom
**Formation energy from the elements**: -33 meV per atom
**Total magnetic moment**: 2.6 μB/f.u.

a = 5.513 Å, b = 5.513 Å, c = 5.513 Å
α = 60.00°, β = 60.00°, γ = 60.00°
Atoms (fractional coordinates):
1 La 0.000 0.000 0.000
2 Ce 0.750 0.750 0.750
3 Pr 0.500 0.500 0.500
4 Hg 0.250 0.250 0.250